Entry 1:
Material: NdTiSe
Method: DFT, GGA-PBE
State: optimized geometry

Properties
**Space-group type**: No. 129
**Crystal system**: tetragonal
**Formation energy from raw total energies**: -0.98 eV per atom
**Theoretical density**: 7.0 g/cm3
**Total magnetic moment**: 0.00 μB per cell

Cell lengths 4.0050, 4.0050, 8.0445 Å; angles 90.00, 90.00, 90.00 degrees
Sites, in units of the cell vectors:
Nd1 0.2500 0.2500 0.1466
Nd2 0.7500 0.7500 0.8534
Ti1 0.2500 0.7500 0.5000
Ti2 0.7500 0.2500 0.5000
Se1 0.2500 0.2500 0.7283
Se2 0.7500 0.7500 0.2717

=====

Entry 2:
Material: Tl2FeOs
Method: DFT, GGA-PBE
State: optimized geometry

Properties
**Space-group type**: No. 139
**Energy relative to the elements**: 982 meV per atom
**Crystal system**: tetragonal
**Theoretical density**: 14.8 g/cm3
**Total magnetic moment**: 3.27 μB per cell

Cell lengths 5.0970, 5.0970, 5.0970 Å; angles 131.04, 131.04, 71.74 degrees
Sites, in units of the cell vectors:
Tl1 0.2500 0.7500 0.5000
Tl2 0.7500 0.2500 0.5000
Fe1 0.0000 0.0000 0.0000
Os1 0.5000 0.5000 0.0000

=====

Entry 3:
Material: URh2O6
Method: DFT, GGA-PBE
State: optimized geometry

Properties
**Space-group type**: No. 150
**Crystal system**: trigonal
**Formation energy from raw total energies**: -1.74 eV per atom
**Theoretical density**: 8.3 g/cm3
**Total magnetic moment**: 0.00 μB per cell

Cell lengths 8.9768, 8.9768, 4.6150 Å; angles 90.00, 90.00, 120.00 degrees
Sites, in units of the cell vectors:
U1 0.0000 0.0000 0.0000
U2 0.3333 0.6667 0.5050
U3 0.6667 0.3333 0.4950
Rh1 0.0000 0.3281 0.5000
Rh2 0.0000 0.6612 0.0000
Rh3 0.3281 0.0000 0.5000
Rh4 0.3388 0.3388 0.0000
Rh5 0.6612 0.0000 0.0000
Rh6 0.6719 0.6719 0.5000
O1 0.1086 0.5487 0.7549
O2 0.1099 0.8851 0.7514
O3 0.1149 0.2248 0.7514
O4 0.2169 0.7748 0.2558
O5 0.2248 0.1149 0.2486
O6 0.2252 0.4421 0.2558
O7 0.4400 0.8914 0.7549
O8 0.4421 0.2252 0.7442
O9 0.4513 0.5600 0.7549
O10 0.5487 0.1086 0.2451
O11 0.5579 0.7831 0.2558
O12 0.5600 0.4513 0.2451
O13 0.7748 0.2169 0.7442
O14 0.7752 0.8901 0.7514
O15 0.7831 0.5579 0.7442
O16 0.8851 0.1099 0.2486
O17 0.8901 0.7752 0.2486
O18 0.8914 0.4400 0.2451

=====

Entry 4:
Material: PSeCl
Method: DFT, GGA-PBE
State: optimized geometry

Properties
**Space-group type**: No. 216
**Crystal system**: cubic
**Formation energy from raw total energies**: 0.40 eV per atom
**Theoretical density**: 3.7 g/cm3
**Total magnetic moment**: 0.00 μB per cell

Cell lengths 4.5297, 4.5297, 4.5297 Å; angles 60.00, 60.00, 60.00 degrees
Sites, in units of the cell vectors:
P1 0.0000 0.0000 0.0000
Se1 0.2500 0.2500 0.2500
Cl1 0.7500 0.7500 0.7500

=====

Entry 5:
Material: NbPd2S
Method: DFT, GGA-PBE
State: optimized geometry

Properties
**Space-group type**: No. 122
**Crystal system**: tetragonal
**Formation energy from raw total energies**: -0.16 eV per atom
**Theoretical density**: 8.6 g/cm3
**Total magnetic moment**: 0.00 μB per cell

Cell lengths 5.6661, 5.6661, 5.6661 Å; angles 101.88, 101.88, 126.05 degrees
Sites, in units of the cell vectors:
Nb1 0.0000 0.0000 0.0000
Nb2 0.7500 0.2500 0.5000
Pd1 0.1592 0.6250 0.0342
Pd2 0.3750 0.4092 0.5342
Pd3 0.5908 0.1250 0.9658
Pd4 0.8750 0.8408 0.4658
S1 0.2500 0.7500 0.5000
S2 0.5000 0.5000 0.0000

=====

Entry 6:
Material: Ac2CdCu9
Method: DFT, GGA-PBE
State: optimized geometry

Properties
**Space-group type**: No. 166
**Energy relative to the elements**: 18 meV per atom
**Crystal system**: trigonal
**Theoretical density**: 9.1 g/cm3
**Total magnetic moment**: 0.00 μB per cell

Cell lengths 9.1941, 9.1941, 9.1941 Å; angles 33.19, 33.19, 33.19 degrees
Sites, in units of the cell vectors:
Ac1 0.1334 0.1334 0.1334
Ac2 0.8666 0.8666 0.8666
Cd1 0.0000 0.0000 0.0000
Cu1 0.0783 0.5753 0.5753
Cu2 0.3325 0.3325 0.3325
Cu3 0.4247 0.4247 0.9217
Cu4 0.4247 0.9217 0.4247
Cu5 0.5000 0.5000 0.5000
Cu6 0.5753 0.0783 0.5753
Cu7 0.5753 0.5753 0.0783
Cu8 0.6675 0.6675 0.6675
Cu9 0.9217 0.4247 0.4247

=====

Entry 7:
Material: AsIrBr2
Method: DFT, GGA-PBE
State: optimized geometry

Properties
**Space-group type**: No. 8
**Crystal system**: monoclinic
**Formation energy from raw total energies**: -0.31 eV per atom
**Theoretical density**: 6.7 g/cm3
**Total magnetic moment**: 0.00 μB per cell

Cell lengths 3.7781, 3.7781, 8.5151 Å; angles 90.21, 90.21, 60.00 degrees
Sites, in units of the cell vectors:
As1 0.0000 0.0000 0.0000
Ir1 0.3340 0.3340 0.1226
Br1 0.6685 0.6685 0.3086
Br2 0.9984 0.9984 0.7238

=====

Entry 8:
Material: ScSi2HgN
Method: DFT, GGA-PBE
State: optimized geometry

Properties
**Space-group type**: No. 123
**Crystal system**: tetragonal
**Formation energy from raw total energies**: -0.02 eV per atom
**Theoretical density**: 6.7 g/cm3
**Total magnetic moment**: 0.00 μB per cell

Cell lengths 4.2709, 4.2709, 4.3036 Å; angles 90.00, 90.00, 90.00 degrees
Sites, in units of the cell vectors:
Sc1 0.0000 0.0000 0.0000
Si1 0.0000 0.5000 0.5000
Si2 0.5000 0.0000 0.5000
Hg1 0.5000 0.5000 0.0000
N1 0.0000 0.0000 0.5000

=====

Entry 9:
Material: Pr8Er3Tm
Method: DFT, GGA-PBE
State: optimized geometry

Properties
**Space-group type**: No. 12
**Energy relative to the elements**: 110 meV per atom
**Crystal system**: monoclinic
**Theoretical density**: 7.3 g/cm3
**Total magnetic moment**: 0.00 μB per cell

Cell lengths 6.9892, 6.9892, 9.9281 Å; angles 97.21, 97.21, 119.08 degrees
Sites, in units of the cell vectors:
Pr1 0.1808 0.6832 0.6658
Pr2 0.1829 0.1829 0.1649
Pr3 0.3168 0.8192 0.3342
Pr4 0.3178 0.3178 0.8328
Pr5 0.6822 0.6822 0.1672
Pr6 0.6832 0.1808 0.6658
Pr7 0.8171 0.8171 0.8351
Pr8 0.8192 0.3168 0.3342
Er1 0.0000 0.5000 0.0000
Er2 0.5000 0.0000 0.0000
Er3 0.5000 0.5000 0.5000
Tm1 0.0000 0.0000 0.5000

=====

Entry 10:
Material: CrCuSe2
Method: DFT, GGA-PBE
State: optimized geometry

Properties
**Space-group type**: No. 122
**Crystal system**: tetragonal
**Formation energy from raw total energies**: -0.25 eV per atom
**Theoretical density**: 5.2 g/cm3
**Total magnetic moment**: 6.00 μB per cell

Cell lengths 6.8692, 6.8692, 6.8692 Å; angles 131.89, 131.89, 70.40 degrees
Sites, in units of the cell vectors:
Cr1 0.0000 0.0000 0.0000
Cr2 0.7500 0.2500 0.5000
Cu1 0.2500 0.7500 0.5000
Cu2 0.5000 0.5000 0.0000
Se1 0.1255 0.6250 0.0005
Se2 0.3750 0.3755 0.5005
Se3 0.6245 0.1250 0.9995
Se4 0.8750 0.8745 0.4995

=====

Entry 11:
Material: In3IrBr
Method: DFT, GGA-PBE
State: optimized geometry

Properties
**Space-group type**: No. 221
**Crystal system**: cubic
**Formation energy from raw total energies**: -0.38 eV per atom
**Theoretical density**: 7.2 g/cm3
**Total magnetic moment**: 0.00 μB per cell

Cell lengths 5.2254, 5.2254, 5.2254 Å; angles 90.00, 90.00, 90.00 degrees
Sites, in units of the cell vectors:
In1 0.0000 0.0000 0.5000
In2 0.0000 0.5000 0.0000
In3 0.5000 0.0000 0.0000
Ir1 0.0000 0.0000 0.0000
Br1 0.5000 0.5000 0.5000

=====

Entry 12:
Material: Pm7Al2Si2
Method: DFT, GGA-PBE
State: optimized geometry

Properties
**Space-group type**: No. 65
**Crystal system**: orthorhombic
**Formation energy from raw total energies**: -0.24 eV per atom
**Theoretical density**: 5.7 g/cm3
**Total magnetic moment**: 0.00 μB per cell

Cell lengths 6.8540, 6.8540, 7.2653 Å; angles 90.00, 90.00, 107.64 degrees
Sites, in units of the cell vectors:
Pm1 0.0000 0.0000 0.0000
Pm2 0.0000 0.5000 0.2776
Pm3 0.0000 0.5000 0.7224
Pm4 0.5000 0.0000 0.2776
Pm5 0.5000 0.0000 0.7224
Pm6 0.5000 0.5000 0.2565
Pm7 0.5000 0.5000 0.7435
Al1 0.1637 0.1637 0.5000
Al2 0.8363 0.8363 0.5000
Si1 0.2842 0.7158 0.0000
Si2 0.7158 0.2842 0.0000

=====

Number 4 is which compound? PSeCl

=====

What is the total magnetic moment in the eighth record? 0.00 μB per cell

=====

Repeat the fourth record exactly.
Material: PSeCl
Method: DFT, GGA-PBE
State: optimized geometry

Properties
**Space-group type**: No. 216
**Crystal system**: cubic
**Formation energy from raw total energies**: 0.40 eV per atom
**Theoretical density**: 3.7 g/cm3
**Total magnetic moment**: 0.00 μB per cell

Cell lengths 4.5297, 4.5297, 4.5297 Å; angles 60.00, 60.00, 60.00 degrees
Sites, in units of the cell vectors:
P1 0.0000 0.0000 0.0000
Se1 0.2500 0.2500 0.2500
Cl1 0.7500 0.7500 0.7500